Compound: MgTe
Source: the Alexandria database
Functional: PBEsol
Structure: relaxed

a b c (Å): 4.179 4.179 4.179
angles (deg): 60.00 60.00 60.00
Positions (direct):
Mg (0.000, 0.000, 0.000)
Te (0.500, 0.500, 0.500)

Values from the calculation:
Symmetry: Fm-3m
Calculated total energy (eV per atom): -3.447